one) Density functional theory data (GGA-PBE) for a geometry-optimized BaTl6Pb structure.

Geometry as POSCAR:
```
BaTl6Pb
1.0
6.470 0.000 0.000
0.000 6.470 0.000
0.000 0.000 6.470
Ba Tl Pb
1 6 1
direct
0.000 0.000 0.000 Ba
0.000 0.259 0.500 Tl
0.000 0.741 0.500 Tl
0.259 0.500 0.000 Tl
0.500 0.000 0.259 Tl
0.500 0.000 0.741 Tl
0.741 0.500 0.000 Tl
0.500 0.500 0.500 Pb
```

SG	Pm-3
N(E_F)	0.954	states/eV per atom

***

two) Density functional theory data (GGA-PBE) for a geometry-optimized BaTl6Pb structure.

Geometry as POSCAR:
```
BaTl6Pb
1.0
5.482 0.000 0.000
0.000 8.201 0.000
0.000 0.000 11.672
Ba Tl Pb
2 12 2
direct
0.000 0.000 0.000 Ba
0.000 0.500 0.500 Ba
0.000 0.204 0.283 Tl
0.000 0.296 0.783 Tl
0.000 0.704 0.783 Tl
0.000 0.796 0.283 Tl
0.500 0.000 0.204 Tl
0.500 0.000 0.745 Tl
0.500 0.203 0.471 Tl
0.500 0.297 0.971 Tl
0.500 0.500 0.245 Tl
0.500 0.500 0.704 Tl
0.500 0.703 0.971 Tl
0.500 0.797 0.471 Tl
0.000 0.000 0.564 Pb
0.000 0.500 0.064 Pb
```

SG	Amm2
N(E_F)	0.367	states/eV per atom

***

Most stable structure: two)